Record 1
Entry from Alexandria via LeMat-Bulk: a geometry-optimized LaTb6Ho2Tm3 structure (GGA-PBE).

CIF file:
```
data_LaTb6Ho2Tm3
_cell_length_a 6.1549
_cell_length_b 10.6562
_cell_length_c 11.7792
_cell_angle_alpha 90.00
_cell_angle_beta 100.01
_cell_angle_gamma 90.00
_space_group_name_H-M_alt 'C 1 2/m 1'
_space_group_IT_number 12
_space_group_name_Hall '-C 2y'
loop_
_atom_site_label
_atom_site_type_symbol
_atom_site_fract_x
_atom_site_fract_y
_atom_site_fract_z
La1 La 0.0000 0.0000 0.0000
Tb1 Tb 0.2474 0.3327 0.7464
Tb2 Tb 0.2494 0.0000 0.7462
Ho1 Ho 0.0000 0.3334 0.0000
Tm1 Tm 0.0000 0.1671 0.5000
Tm2 Tm 0.0000 0.5000 0.5000
```

**Spin magnetization**: 0.00 Bohr magnetons per cell
**Formation energy**: 0.02 eV per atom
**V**: 31.70 A^3/atom

Record 2
Entry from Alexandria via LeMat-Bulk: a geometry-optimized Pr4TcGe structure (GGA-PBE).

CIF file:
```
data_Pr4TcGe
_cell_length_a 9.1853
_cell_length_b 13.6694
_cell_length_c 6.5331
_cell_angle_alpha 90.00
_cell_angle_beta 120.61
_cell_angle_gamma 90.00
_space_group_name_H-M_alt 'C 1 2/c 1'
_space_group_IT_number 15
_space_group_name_Hall '-C 2yc'
loop_
_atom_site_label
_atom_site_type_symbol
_atom_site_fract_x
_atom_site_fract_y
_atom_site_fract_z
Pr1 Pr 0.1221 0.1772 0.0849
Pr2 Pr 0.2098 0.4337 0.3026
Tc1 Tc 0.0000 0.0022 0.7500
Ge1 Ge 0.0000 0.3719 0.7500
```

**Spin magnetization**: 0.00 Bohr magnetons per cell
**Formation energy**: -0.26 eV per atom
**V**: 29.42 A^3/atom

Record 3
Entry from Alexandria via LeMat-Bulk: a geometry-optimized LaEr2Cd structure (GGA-PBE).

CIF file:
```
data_LaEr2Cd
_cell_length_a 3.6603
_cell_length_b 3.6603
_cell_length_c 8.9152
_cell_angle_alpha 90.00
_cell_angle_beta 90.00
_cell_angle_gamma 90.00
_space_group_name_H-M_alt 'P 4/m m m'
_space_group_IT_number 123
_space_group_name_Hall '-P 4 2'
loop_
_atom_site_label
_atom_site_type_symbol
_atom_site_fract_x
_atom_site_fract_y
_atom_site_fract_z
La1 La 0.0000 0.0000 0.0000
Er1 Er 0.5000 0.5000 0.2855
Cd1 Cd 0.0000 0.0000 0.5000
```

**Spin magnetization**: 0.00 Bohr magnetons per cell
**Formation energy**: -0.13 eV per atom
**ΔE to the lowest computed polymorph**: 10.7 meV/atom
**V**: 29.86 A^3/atom

Record 4
Entry from Alexandria via LeMat-Bulk: a geometry-optimized Li2DyMg structure (GGA-PBE).

CIF file:
```
data_Li2DyMg
_cell_length_a 5.2647
_cell_length_b 5.2647
_cell_length_c 3.3153
_cell_angle_alpha 90.00
_cell_angle_beta 90.00
_cell_angle_gamma 90.00
_space_group_name_H-M_alt 'P 4/m m m'
_space_group_IT_number 123
_space_group_name_Hall '-P 4 2'
loop_
_atom_site_label
_atom_site_type_symbol
_atom_site_fract_x
_atom_site_fract_y
_atom_site_fract_z
Li1 Li 0.0000 0.5000 0.0000
Dy1 Dy 0.0000 0.0000 0.5000
Mg1 Mg 0.5000 0.5000 0.5000
```

**Spin magnetization**: 0.00 Bohr magnetons per cell
**Formation energy**: 0.12 eV per atom
**ΔE to the lowest computed polymorph**: 51.5 meV/atom
**V**: 22.97 A^3/atom

Record 5
Entry from Alexandria via LeMat-Bulk: a geometry-optimized TbCrW2C4 structure (GGA-PBE).

CIF file:
```
data_TbCrW2C4
_cell_length_a 3.1961
_cell_length_b 10.9355
_cell_length_c 10.6932
_cell_angle_alpha 90.00
_cell_angle_beta 90.00
_cell_angle_gamma 90.00
_space_group_name_H-M_alt 'C m c m'
_space_group_IT_number 63
_space_group_name_Hall '-C 2c 2'
loop_
_atom_site_label
_atom_site_type_symbol
_atom_site_fract_x
_atom_site_fract_y
_atom_site_fract_z
Tb1 Tb 0.0000 0.1062 0.2500
Cr1 Cr 0.0000 0.1599 0.7500
W1 W 0.0000 0.3746 0.0392
C1 C 0.0000 0.0000 0.0000
C2 C 0.0000 0.2641 0.6136
C3 C 0.0000 0.4331 0.2500
```

**Spin magnetization**: 0.00 Bohr magnetons per cell
**Formation energy**: -0.06 eV per atom
**V**: 11.68 A^3/atom

Record 6
Entry from Alexandria via LeMat-Bulk: a geometry-optimized Mg2NiB2 structure (GGA-PBE).

CIF file:
```
data_Mg2NiB2
_cell_length_a 2.7766
_cell_length_b 2.7766
_cell_length_c 15.6591
_cell_angle_alpha 90.00
_cell_angle_beta 90.00
_cell_angle_gamma 90.00
_space_group_name_H-M_alt 'I 4/m m m'
_space_group_IT_number 139
_space_group_name_Hall '-I 4 2'
loop_
_atom_site_label
_atom_site_type_symbol
_atom_site_fract_x
_atom_site_fract_y
_atom_site_fract_z
Mg1 Mg 0.0000 0.0000 0.1142
Ni1 Ni 0.0000 0.0000 0.5000
B1 B 0.0000 0.5000 0.2500
```

**Spin magnetization**: 0.00 Bohr magnetons per cell
**Formation energy**: 0.46 eV per atom
**ΔE to the lowest computed polymorph**: 455.8 meV/atom
**V**: 12.07 A^3/atom